Mn3Tl4InF12 | PBE+U | relaxed

**Electronic total energy**: -101.8 eV for the cell shown
**Space-group type**: Im-3m (229)
**Total magnetization**: 14.0 μB per cell
**Crystal system**: cubic

Cell: 7.5858 7.5858 7.5858 Å, 109.47 109.47 109.47°
With the nearest neighbours (Å) after each atom.
Positions (direct):
Mn 0.0000 0.5000 0.5000  6 F 2.09-2.19
Mn 0.5000 0.0000 0.5000  6 F 2.09-2.19
Mn 0.5000 0.5000 0.0000  6 F 2.09-2.19
Tl 0.0000 0.0000 0.5000  12 F 3.10
Tl 0.0000 0.5000 0.0000  12 F 3.10
Tl 0.5000 0.0000 0.0000  12 F 3.10
Tl 0.5000 0.5000 0.5000  12 F 3.10
In 0.0000 0.0000 0.0000  6 F 2.29
F 0.0000 0.2610 0.2610  1 Mn 2.09, 1 In 2.29
F 0.0000 0.7390 0.7390  1 Mn 2.09, 1 In 2.29
F 0.2500 0.5000 0.7500  2 Mn 2.19
F 0.2500 0.7500 0.5000  2 Mn 2.19
F 0.2610 0.0000 0.2610  1 Mn 2.09, 1 In 2.29
F 0.2610 0.2610 0.0000  1 Mn 2.09, 1 In 2.29
F 0.5000 0.2500 0.7500  2 Mn 2.19
F 0.5000 0.7500 0.2500  2 Mn 2.19
F 0.7390 0.0000 0.7390  1 Mn 2.09, 1 In 2.29
F 0.7390 0.7390 0.0000  1 Mn 2.09, 1 In 2.29
F 0.7500 0.2500 0.5000  2 Mn 2.19
F 0.7500 0.5000 0.2500  2 Mn 2.19